Record 1
Ge3OsSe | PBE-GGA | optimized geometry

Computed properties:
Offset from the most stable computed form   0.0000 eV/atom
Space-group type   Pm-3m
Formation energy (no corrections)   0.108 eV per atom
D(E_F)   0.03 states/eV per cell
Total moment   0.00 μB/f.u.

Unit cell a=4.797 b=4.797 c=4.797 alpha=90.00 beta=90.00 gamma=90.00
Atoms (fractional coordinates):
Ge 0.000 0.000 0.500
Ge 0.000 0.500 0.000
Ge 0.500 0.000 0.000
Os 0.000 0.000 0.000
Se 0.500 0.500 0.500

Record 2
GeOsSe3 | PBE-GGA | optimized geometry

Computed properties:
Offset from the most stable computed form   0.0000 eV/atom
Space-group type   Pm-3m
Formation energy (no corrections)   0.665 eV per atom
D(E_F)   7.58 states/eV per cell
Total moment   0.99 μB/f.u.

Unit cell a=4.908 b=4.908 c=4.908 alpha=90.00 beta=90.00 gamma=90.00
Atoms (fractional coordinates):
Ge 0.000 0.000 0.000
Os 0.500 0.500 0.500
Se 0.000 0.500 0.500
Se 0.500 0.000 0.500
Se 0.500 0.500 0.000

Record 3
Ge2OsSe6 | PBE-GGA | optimized geometry

Computed properties:
Space-group type   C2/c
Formation energy (no corrections)   -0.079 eV per atom
D(E_F)   10.35 states/eV per cell
Total moment   0.00 μB/f.u.

Unit cell a=8.251 b=8.251 c=6.535 alpha=97.36 beta=97.36 gamma=83.12
Atoms (fractional coordinates):
Ge 0.114 0.288 0.349
Ge 0.288 0.114 0.849
Ge 0.712 0.886 0.151
Ge 0.886 0.712 0.651
Os 0.394 0.606 0.750
Os 0.606 0.394 0.250
Se 0.030 0.216 0.664
Se 0.132 0.607 0.872
Se 0.216 0.030 0.164
Se 0.317 0.493 0.375
Se 0.393 0.868 0.628
Se 0.493 0.317 0.875
Se 0.507 0.683 0.125
Se 0.607 0.132 0.372
Se 0.683 0.507 0.625
Se 0.784 0.970 0.836
Se 0.868 0.393 0.128
Se 0.970 0.784 0.336

Record 4
GeOs2Se | PBE-GGA | optimized geometry

Computed properties:
Offset from the most stable computed form   0.0000 eV/atom
Space-group type   Fm-3m
Formation energy (no corrections)   0.573 eV per atom
D(E_F)   2.34 states/eV per cell
Total moment   0.00 μB/f.u.

Unit cell a=4.389 b=4.389 c=4.389 alpha=60.00 beta=60.00 gamma=60.00
Atoms (fractional coordinates):
Ge 0.000 0.000 0.000
Os 0.250 0.250 0.250
Os 0.750 0.750 0.750
Se 0.500 0.500 0.500

Record 5
GeOsSe | PBE-GGA | optimized geometry

Computed properties:
Space-group type   P2_1/c
Formation energy (no corrections)   -0.120 eV per atom
Total moment   0.00 μB/f.u.

Unit cell a=6.124 b=6.320 c=6.309 alpha=90.00 beta=118.71 gamma=90.00
Atoms (fractional coordinates):
Ge 0.153 0.159 0.303
Ge 0.153 0.341 0.803
Ge 0.847 0.659 0.197
Ge 0.847 0.841 0.697
Os 0.258 0.504 0.497
Os 0.258 0.996 0.997
Os 0.742 0.004 0.003
Os 0.742 0.496 0.503
Se 0.336 0.621 0.161
Se 0.336 0.879 0.661
Se 0.664 0.121 0.339
Se 0.664 0.379 0.839

Record 6
GeOs2Se | PBE-GGA | optimized geometry

Computed properties:
Offset from the most stable computed form   0.1753 eV/atom
Space-group type   I-42d
Formation energy (no corrections)   0.749 eV per atom
D(E_F)   4.50 states/eV per cell
Total moment   0.00 μB/f.u.

Unit cell a=6.710 b=6.710 c=6.710 alpha=131.05 beta=131.05 gamma=71.74
Atoms (fractional coordinates):
Ge 0.000 0.000 0.000
Ge 0.750 0.250 0.500
Os 0.132 0.625 0.007
Os 0.375 0.382 0.507
Os 0.618 0.125 0.993
Os 0.875 0.868 0.493
Se 0.250 0.750 0.500
Se 0.500 0.500 0.000

Record 7
Ge3OsSe | PBE-GGA | optimized geometry

Computed properties:
Offset from the most stable computed form   1.5020 eV/atom
Space-group type   Pm-3m
Formation energy (no corrections)   1.610 eV per atom
D(E_F)   4.58 states/eV per cell
Total moment   1.79 μB/f.u.

Unit cell a=4.868 b=4.868 c=4.868 alpha=90.00 beta=90.00 gamma=90.00
Atoms (fractional coordinates):
Ge 0.000 0.000 0.500
Ge 0.000 0.500 0.000
Ge 0.500 0.000 0.000
Os 0.500 0.500 0.500
Se 0.000 0.000 0.000

Record 8
Th8GeOs3Se4 | PBE-GGA | optimized geometry

Computed properties:
Space-group type   R-3m
Formation energy (no corrections)   -1.029 eV per atom
D(E_F)   12.14 states/eV per cell
Total moment   0.00 μB/f.u.

Unit cell a=8.703 b=8.703 c=8.703 alpha=57.47 beta=57.47 gamma=57.47
Atoms (fractional coordinates):
Th 0.226 0.747 0.747
Th 0.239 0.239 0.239
Th 0.253 0.253 0.774
Th 0.253 0.774 0.253
Th 0.747 0.226 0.747
Th 0.747 0.747 0.226
Th 0.761 0.761 0.761
Th 0.774 0.253 0.253
Ge 0.500 0.500 0.500
Os 0.000 0.000 0.500
Os 0.000 0.500 0.000
Os 0.500 0.000 0.000
Se 0.000 0.000 0.000
Se 0.000 0.500 0.500
Se 0.500 0.000 0.500
Se 0.500 0.500 0.000